No. 1
VASP calculation (GGA-PBE) on a relaxed CsHg3Te crystal.

Space-group type: Pm-3m, No. 221
Energy above the lowest structure with this stoichiometry in meV per atom: 0
Energy relative to the elements, uncorrected in eV per atom: -0.0515
VASP energy in eV/atom: -1.0317

Cell: 6.303 6.303 6.303 Å, 90.00 90.00 90.00°
Fractional positions:
Te (0.000, 0.000, 0.000)
Hg (0.000, 0.500, 0.000)
Cs (0.500, 0.500, 0.500)
Hg (0.500, 0.000, 0.000)
Hg (0.000, 0.000, 0.500)

---

No. 2
VASP calculation (GGA-PBE) on a relaxed CsHgTe crystal.

Space-group type: C2/m, No. 12
Energy above the lowest structure with this stoichiometry in meV per atom: 25
Energy relative to the elements, uncorrected in eV per atom: -0.6259
VASP energy in eV/atom: -2.0583

Cell: 9.198 4.900 12.836 Å, 90.00 124.59 90.00°
Fractional positions:
Te (0.274, 0.500, 0.707)
Hg (0.443, 0.000, 0.870)
Cs (0.834, 0.000, 0.554)
Te (0.726, 0.500, 0.293)
Cs (0.166, 0.500, 0.946)
Cs (0.834, 0.500, 0.054)
Hg (0.557, 0.000, 0.130)
Hg (0.557, 0.500, 0.630)
Hg (0.443, 0.500, 0.370)
Te (0.726, 0.000, 0.793)
Cs (0.166, 0.000, 0.446)
Te (0.274, 0.000, 0.207)

---

No. 3
VASP calculation (GGA-PBE) on a relaxed CsHg3Te crystal.

Space-group type: Pm-3m, No. 221
Energy above the lowest structure with this stoichiometry in meV per atom: 301
Energy relative to the elements, uncorrected in eV per atom: 0.2498
VASP energy in eV/atom: -0.7304

Cell: 6.997 6.997 6.997 Å, 90.00 90.00 90.00°
Last column: magnetic moment on the atom in μB.
Fractional positions:
Cs (0.000, 0.000, 0.000)  0.00
Te (0.500, 0.500, 0.500)  0.48
Hg (0.500, 0.000, 0.000)  0.00
Hg (0.000, 0.000, 0.500)  0.00
Hg (0.000, 0.500, 0.000)  0.00

---

No. 4
VASP calculation (GGA-PBE) on a relaxed CsHg2Te crystal.

Space-group type: P1, No. 1
Energy relative to the elements, uncorrected in eV per atom: -0.4303
VASP energy in eV/atom: -1.5800

Cell: 5.882 6.450 5.778 Å, 84.22 77.72 71.53°
Fractional positions:
Te (0.280, 0.935, 0.577)
Cs (0.653, 0.331, 0.519)
Hg (0.292, 0.932, 0.076)
Hg (0.912, 0.632, 0.940)

---

No. 5
VASP calculation (GGA-PBE) on a relaxed CsHg2Te2 crystal.

Space-group type: I4/mmm, No. 139
Energy above the lowest structure with this stoichiometry in meV per atom: 0
Energy relative to the elements, uncorrected in eV per atom: -0.4041
VASP energy in eV/atom: -1.9522

Cell: 5.246 5.246 7.978 Å, 70.81 70.81 90.00°
Fractional positions:
Te (0.356, 0.356, 0.288)
Cs (0.000, 0.000, 0.000)
Te (0.644, 0.644, 0.712)
Hg (0.250, 0.750, 0.500)
Hg (0.750, 0.250, 0.500)

---

No. 6
VASP calculation (GGA-PBE) on a relaxed Cs3Th2HgTe6 crystal.

Space-group type: C2/m, No. 12
Energy relative to the elements, uncorrected in eV per atom: -1.0332
VASP energy in eV/atom: -4.0793

Cell: 4.620 10.389 11.439 Å, 102.98 101.65 90.00°
Fractional positions:
Cs (0.500, 0.500, 0.000)
Te (0.677, 0.553, 0.355)
Te (0.965, 0.770, 0.930)
Th (0.827, 0.666, 0.653)
Cs (0.142, 0.848, 0.284)
Te (0.035, 0.230, 0.070)
Te (0.312, 0.855, 0.624)
Hg (0.500, 0.000, 0.000)
Cs (0.858, 0.152, 0.716)
Te (0.323, 0.447, 0.645)
Th (0.173, 0.334, 0.347)
Te (0.688, 0.145, 0.376)

---

No. 7
VASP calculation (GGA-PBE) on a relaxed CsThHgTe4 crystal.

Space-group type: P2_1/m, No. 11
Energy relative to the elements, uncorrected in eV per atom: -0.8121
VASP energy in eV/atom: -3.8324

Cell: 7.990 6.556 10.949 Å, 90.00 109.14 90.00°
Fractional positions:
Hg (0.264, 0.750, 0.311)
Hg (0.736, 0.250, 0.689)
Th (0.735, 0.750, 0.449)
Te (0.567, 0.250, 0.413)
Cs (0.772, 0.750, 0.947)
Te (0.969, 0.487, 0.306)
Cs (0.228, 0.250, 0.053)
Te (0.433, 0.750, 0.587)
Te (0.523, 0.250, 0.838)
Te (0.477, 0.750, 0.162)
Te (0.969, 0.013, 0.306)
Te (0.031, 0.987, 0.694)
Th (0.265, 0.250, 0.551)
Te (0.031, 0.513, 0.694)

---

No. 8
VASP calculation (GGA-PBE) on a relaxed CsTh2HgTe5 crystal.

Space-group type: I4/mcm, No. 140
Energy relative to the elements, uncorrected in eV per atom: -0.9963
VASP energy in eV/atom: -4.5189

Cell: 8.762 8.762 10.790 Å, 113.95 113.95 90.00°
Fractional positions:
Cs (0.250, 0.250, 0.500)
Hg (0.750, 0.250, 0.500)
Te (0.257, 0.757, 0.224)
Cs (0.750, 0.750, 0.500)
Th (0.656, 0.156, 0.000)
Te (0.033, 0.533, 0.776)
Te (0.243, 0.033, 0.776)
Te (0.500, 0.500, 0.000)
Th (0.844, 0.656, 0.000)
Te (0.000, 0.000, 0.000)
Th (0.344, 0.844, 0.000)
Th (0.156, 0.344, 0.000)
Te (0.467, 0.257, 0.224)
Te (0.743, 0.243, 0.776)
Te (0.533, 0.743, 0.776)
Te (0.967, 0.467, 0.224)
Te (0.757, 0.967, 0.224)
Hg (0.250, 0.750, 0.500)

---

No. 9
VASP calculation (GGA-PBE) on a relaxed Cs2TiHg2Te4 crystal.

Space-group type: C2/m, No. 12
Energy relative to the elements, uncorrected in eV per atom: -0.5597
VASP energy in eV/atom: -3.0899

Cell: 6.700 8.635 8.635 Å, 45.52 95.15 95.15°
Last column: magnetic moment on the atom in μB.
Fractional positions:
Te (0.265, 0.644, 0.161)  -0.01
Hg (0.847, 0.908, 0.908)  0.00
Te (0.265, 0.161, 0.644)  -0.01
Te (0.735, 0.356, 0.839)  -0.01
Hg (0.153, 0.092, 0.092)  0.00
Cs (0.258, 0.677, 0.677)  0.00
Te (0.735, 0.839, 0.356)  -0.01
Cs (0.742, 0.323, 0.323)  0.00
Ti (0.500, 0.000, 0.000)  0.40

---

No. 10
VASP calculation (GGA-PBE) on a relaxed CsTiHgTe2 crystal.

Space-group type: P4/mmm, No. 123
Energy relative to the elements, uncorrected in eV per atom: -0.5563
VASP energy in eV/atom: -3.6230

Cell: 5.490 5.490 5.627 Å, 90.00 90.00 90.00°
Fractional positions:
Ti (0.000, 0.000, 0.000)
Te (0.000, 0.500, 0.000)
Hg (0.000, 0.000, 0.500)
Te (0.500, 0.000, 0.000)
Cs (0.500, 0.500, 0.500)

---

No. 11
VASP calculation (GGA-PBE) on a relaxed CsTlHgTe2 crystal.

Space-group type: P2/c, No. 13
Energy relative to the elements, uncorrected in eV per atom: -0.4924
VASP energy in eV/atom: -2.4534

Cell: 7.458 8.963 7.319 Å, 113.20 90.00 90.00°
Fractional positions:
Tl (0.503, 0.000, 0.250)
Cs (0.228, 0.500, 0.750)
Te (0.225, 0.747, 0.371)
Cs (0.772, 0.500, 0.250)
Te (0.775, 0.253, 0.629)
Te (0.225, 0.253, 0.129)
Hg (0.000, 0.000, 0.000)
Tl (0.497, 0.000, 0.750)
Te (0.775, 0.747, 0.871)
Hg (0.000, 0.000, 0.500)

---

No. 12
VASP calculation (GGA-PBE) on a relaxed Cs2U2HgTe6 crystal.

Space-group type: C2/m, No. 12
Energy relative to the elements, uncorrected in eV per atom: -0.6743
VASP energy in eV/atom: -4.6229

Cell: 8.082 8.082 9.451 Å, 96.73 96.73 124.30°
Last column: magnetic moment on the atom in μB.
Fractional positions:
Te (0.741, 0.741, 0.663)  -0.05
Cs (0.849, 0.151, 0.000)  0.00
Te (0.943, 0.569, 0.304)  -0.08
U (0.670, 0.330, 0.500)  2.23
Te (0.569, 0.943, 0.304)  -0.08
Hg (0.000, 0.000, 0.500)  0.01
U (0.330, 0.670, 0.500)  2.23
Te (0.431, 0.057, 0.696)  -0.08
Cs (0.151, 0.849, 0.000)  0.00
Te (0.057, 0.431, 0.696)  -0.08
Te (0.259, 0.259, 0.337)  -0.05